{
  "formula": "Ta3MoW2",
  "functional": "PBE",
  "state": "optimized geometry",
  "ef_kj_per_mol_atoms": -13.4,
  "spacegroup": "Cmmm",
  "total_energy_ev_per_atom": -12.1885,
  "lattice_angstrom": [[2.286, -6.859, 0.000], [2.286, 6.859, 0.000], [0.000, 0.000, 6.488]],
  "species": ["Ta", "Ta", "Ta", "Ta", "Ta", "Ta", "Mo", "Mo", "W", "W", "W", "W"],
  "fractional_positions": [[0.000, 0.000, 0.249], [0.000, 0.000, 0.751], [0.333, 0.667, 0.249], [0.333, 0.667, 0.751], [0.667, 0.333, 0.249], [0.667, 0.333, 0.751], [0.166, 0.834, 0.000], [0.834, 0.166, 0.000], [0.167, 0.833, 0.500], [0.500, 0.500, 0.000], [0.500, 0.500, 0.500], [0.833, 0.167, 0.500]]
}